[1]
Below is a PBEsol-optimized structure of TaTl2W, with properties calculated at the SCAN level.

a = 6.690 Å, b = 6.690 Å, c = 6.690 Å
α = 90.00°, β = 90.00°, γ = 90.00°
Space group Fm-3m (No. 225)
Inequivalent atoms, fractional coordinates:
Ta  0.000  0.000  0.000 x4
Tl  0.250  0.250  0.250 x8
W  0.000  0.000  0.500 x4

Computed properties:
* distance to the lowest polymorph of the same formula: 0.635 eV per atom
* total magnetization: 0.0 μB per cell

[2]
Below is a PBEsol-optimized structure of CdCo2Si, with properties calculated at the SCAN level.

a = 2.7215 Å, b = 2.7215 Å, c = 23.7650 Å
α = 90.00°, β = 90.00°, γ = 120.00°
Space group R-3m (No. 166, hexagonal axes)
Inequivalent atoms, fractional coordinates:
Cd  0.0000  0.0000  0.0000 x3
Co  0.0000  0.0000  0.2376 x6
Si  0.0000  0.0000  0.5000 x3

Computed properties:
* distance to the lowest polymorph of the same formula: 0.000 eV per atom
* uncorrected formation energy: 0.121 eV per atom
* total magnetization: 4.7 μB per cell

[3]
Below is a PBEsol-optimized structure of PrGdAl4, with properties calculated at the SCAN level.

a = 7.920 Å, b = 7.920 Å, c = 7.920 Å
α = 90.00°, β = 90.00°, γ = 90.00°
Space group F-43m (No. 216)
Inequivalent atoms, fractional coordinates:
Pr  0.000  0.000  0.000 x4
Gd  0.250  0.250  0.250 x4
Al  0.125  0.125  0.625 x16

Computed properties:
* VASP energy: -545.46 eV per cell
* total magnetization: 32.0 μB per cell

[4]
Below is a PBEsol-optimized structure of MgRe2Mo, with properties calculated at the SCAN level.

a = 3.866 Å, b = 3.866 Å, c = 8.087 Å
α = 90.00°, β = 90.00°, γ = 90.00°
Space group I-4m2 (No. 119)
Inequivalent atoms, fractional coordinates:
Mg  0.000  0.000  0.000 x2
Re  0.000  0.000  0.500 x2
Re  0.000  0.500  0.750 x2
Mo  0.000  0.500  0.250 x2

Computed properties:
* VASP energy: -361.14 eV per cell
* total magnetization: 0.0 μB per cell

[5]
Below is a PBEsol-optimized structure of Mg2Si2Hg, with properties calculated at the SCAN level.

a = 4.387 Å, b = 4.387 Å, c = 10.748 Å
α = 90.00°, β = 90.00°, γ = 90.00°
Space group I4/mmm (No. 139)
Inequivalent atoms, fractional coordinates:
Mg  0.000  0.500  0.250 x4
Si  0.000  0.000  0.105 x4
Hg  0.000  0.000  0.500 x2

Computed properties:
* uncorrected formation energy: 0.191 eV per atom
* total magnetization: 0.0 μB per cell

[6]
Below is a PBEsol-optimized structure of Si2AsSe, with properties calculated at the SCAN level.

a = 3.219 Å, b = 3.219 Å, c = 6.496 Å
α = 90.00°, β = 90.00°, γ = 90.00°
Space group P4/mmm (No. 123)
Inequivalent atoms, fractional coordinates:
Si  0.000  0.000  0.243 x2
As  0.500  0.500  0.000 x1
Se  0.500  0.500  0.500 x1

Computed properties:
* distance to the lowest polymorph of the same formula: 0.000 eV per atom
* uncorrected formation energy: 0.642 eV per atom
* total magnetization: 0.0 μB per cell

Question: What is the total magnetization in the fourth record?
Answer: 0.0 μB per cell

Question: Which of these has the highest total magnetization?
Answer: PrGdAl4

Question: Number 1 is which compound?
Answer: TaTl2W